1.
An optimized crystal structure of NpSbIr, computed with PBE-GGA.

```
data_NpSbIr
_symmetry_space_group_name_H-M 'P 1'
_symmetry_Int_Tables_number 1
_symmetry_space_group_name_Hall 'P 1'
_cell_length_a 5.8878
_cell_length_b 5.8878
_cell_length_c 5.8878
_cell_angle_alpha 145.59
_cell_angle_beta 145.59
_cell_angle_gamma 49.46
loop_
_atom_site_label
_atom_site_type_symbol
_atom_site_fract_x
_atom_site_fract_y
_atom_site_fract_z
Np1 Np 0.0000 0.0000 0.0000
Sb1 Sb 0.7040 0.7040 0.0000
Ir1 Ir 0.3734 0.3734 0.0000
```

Computed properties:
* formation energy (no corrections): -0.08 eV per atom
* D(E_F): 1.632 states/eV/atom
* space group: No. 107



2.
An optimized crystal structure of Np3Sb4Ir3, computed with PBE-GGA.

```
data_Np3Sb4Ir3
_symmetry_space_group_name_H-M 'P 1'
_symmetry_Int_Tables_number 1
_symmetry_space_group_name_Hall 'P 1'
_cell_length_a 8.3609
_cell_length_b 8.3609
_cell_length_c 8.3609
_cell_angle_alpha 109.47
_cell_angle_beta 109.47
_cell_angle_gamma 109.47
loop_
_atom_site_label
_atom_site_type_symbol
_atom_site_fract_x
_atom_site_fract_y
_atom_site_fract_z
Np1 Np 0.1250 0.7500 0.8750
Np2 Np 0.2500 0.6250 0.3750
Np3 Np 0.3750 0.2500 0.6250
Np4 Np 0.6250 0.3750 0.2500
Np5 Np 0.7500 0.8750 0.1250
Np6 Np 0.8750 0.1250 0.7500
Sb1 Sb 0.0000 0.3258 0.5000
Sb2 Sb 0.0000 0.8258 0.5000
Sb3 Sb 0.1742 0.1742 0.1742
Sb4 Sb 0.3258 0.5000 0.0000
Sb5 Sb 0.5000 0.0000 0.3258
Sb6 Sb 0.5000 0.0000 0.8258
Sb7 Sb 0.6742 0.6742 0.6742
Sb8 Sb 0.8258 0.5000 0.0000
Ir1 Ir 0.1250 0.8750 0.2500
Ir2 Ir 0.2500 0.1250 0.8750
Ir3 Ir 0.3750 0.6250 0.7500
Ir4 Ir 0.6250 0.7500 0.3750
Ir5 Ir 0.7500 0.3750 0.6250
Ir6 Ir 0.8750 0.2500 0.1250
```

Computed properties:
* formation energy (no corrections): -0.36 eV per atom
* D(E_F): 3.016 states/eV/atom
* space group: No. 220



3.
An optimized crystal structure of NpSbIr, computed with PBE-GGA.

```
data_NpSbIr
_symmetry_space_group_name_H-M 'P 1'
_symmetry_Int_Tables_number 1
_symmetry_space_group_name_Hall 'P 1'
_cell_length_a 4.4408
_cell_length_b 4.4408
_cell_length_c 3.9563
_cell_angle_alpha 90.00
_cell_angle_beta 90.00
_cell_angle_gamma 120.00
loop_
_atom_site_label
_atom_site_type_symbol
_atom_site_fract_x
_atom_site_fract_y
_atom_site_fract_z
Np1 Np 0.0000 0.0000 0.0000
Sb1 Sb 0.3333 0.6667 0.5192
Ir1 Ir 0.6667 0.3333 0.3653
```

Computed properties:
* formation energy (no corrections): -0.26 eV per atom
* D(E_F): 2.590 states/eV/atom
* space group: No. 156



4.
An optimized crystal structure of NpSbIr, computed with PBE-GGA.

```
data_NpSbIr
_symmetry_space_group_name_H-M 'P 1'
_symmetry_Int_Tables_number 1
_symmetry_space_group_name_Hall 'P 1'
_cell_length_a 6.0179
_cell_length_b 6.0179
_cell_length_c 6.0179
_cell_angle_alpha 137.51
_cell_angle_beta 123.55
_cell_angle_gamma 73.14
loop_
_atom_site_label
_atom_site_type_symbol
_atom_site_fract_x
_atom_site_fract_y
_atom_site_fract_z
Np1 Np 0.2090 0.0000 0.2090
Np2 Np 0.7910 0.0000 0.7910
Sb1 Sb 0.1966 0.6966 0.5000
Sb2 Sb 0.8034 0.3034 0.5000
Ir1 Ir 0.3590 0.3590 0.0000
Ir2 Ir 0.6410 0.6410 0.0000
```

Computed properties:
* formation energy (no corrections): -0.33 eV per atom
* D(E_F): 1.974 states/eV/atom
* space group: No. 71



Look up the D(E_F) of the third one. 2.590 states/eV/atom



What did the fourth record say?
An optimized crystal structure of NpSbIr, computed with PBE-GGA.

```
data_NpSbIr
_symmetry_space_group_name_H-M 'P 1'
_symmetry_Int_Tables_number 1
_symmetry_space_group_name_Hall 'P 1'
_cell_length_a 6.0179
_cell_length_b 6.0179
_cell_length_c 6.0179
_cell_angle_alpha 137.51
_cell_angle_beta 123.55
_cell_angle_gamma 73.14
loop_
_atom_site_label
_atom_site_type_symbol
_atom_site_fract_x
_atom_site_fract_y
_atom_site_fract_z
Np1 Np 0.2090 0.0000 0.2090
Np2 Np 0.7910 0.0000 0.7910
Sb1 Sb 0.1966 0.6966 0.5000
Sb2 Sb 0.8034 0.3034 0.5000
Ir1 Ir 0.3590 0.3590 0.0000
Ir2 Ir 0.6410 0.6410 0.0000
```

Computed properties:
* formation energy (no corrections): -0.33 eV per atom
* D(E_F): 1.974 states/eV/atom
* space group: No. 71